This record from Alexandria via LeMat-Bulk describes a geometry-optimized KZnTc structure. The functional is PBE-GGA.

Unit cell a=8.3304 b=8.1945 c=2.7459 alpha=83.24 beta=77.65 gamma=19.11
Fractional coordinates of all 3 atoms:
Zn: 0.6864 0.6864 0.3136
K: 0.9964 0.9964 0.0036
Tc: 0.3172 0.3172 0.6828

Summary:
Relative energy among the computed polymorphs (meV per atom): 89
Space-group type: Fmm2
Crystal system: orthorhombic
DOS(E_F) (states/eV/cell): 1.47
Total magnetic moment (μB/atom): 0.000
E_form (eV per formula unit): 2.40